Entry 1:
Computed, not measured: a relaxed TiCu2P crystal at the GGA-PBEsol level of DFT.

```
data_TiCu2P
_chemical_formula_sum 'Ti8 Cu16 P8'
_cell_length_a 3.480
_cell_length_b 3.480
_cell_length_c 32.909
_cell_angle_alpha 90.00
_cell_angle_beta 90.00
_cell_angle_gamma 90.00
_symmetry_space_group_name_H-M 'I 41/a m d'
_symmetry_Int_Tables_number 141
loop_
_symmetry_equiv_pos_as_xyz
'x,y,z'
'-x,-y,-z'
'-y+1/4,x+3/4,z+1/4'
'y+1/4,-x+3/4,-z+1/4'
'-x+1/2,-y,z+1/2'
'x+1/2,y,-z+1/2'
'y+1/4,-x+1/4,z+3/4'
'-y+1/4,x+1/4,-z+3/4'
'x,-y,-z'
'-x,y,z'
'-y+1/4,-x+1/4,-z+3/4'
'y+1/4,x+1/4,z+3/4'
'-x+1/2,y,-z+1/2'
'x+1/2,-y,z+1/2'
'y+1/4,x+3/4,-z+1/4'
'-y+1/4,-x+3/4,z+1/4'
'x+1/2,y+1/2,z+1/2'
'-x+1/2,-y+1/2,-z+1/2'
'-y+3/4,x+1/4,z+3/4'
'y+3/4,-x+1/4,-z+3/4'
'-x,-y+1/2,z'
'x,y+1/2,-z'
'y+3/4,-x+3/4,z+1/4'
'-y+3/4,x+3/4,-z+1/4'
'x+1/2,-y+1/2,-z+1/2'
'-x+1/2,y+1/2,z+1/2'
'-y+3/4,-x+3/4,-z+1/4'
'y+3/4,x+3/4,z+1/4'
'-x,y+1/2,-z'
'x,-y+1/2,z'
'y+3/4,x+1/4,-z+3/4'
'-y+3/4,-x+1/4,z+3/4'
loop_
_atom_site_label
_atom_site_fract_x
_atom_site_fract_y
_atom_site_fract_z
_atom_site_occupancy
Ti1 0.000 0.250 0.097 1
Cu1 0.000 0.250 0.280 1
Cu2 0.000 0.250 0.777 1
P1 0.000 0.250 0.172 1
```

DFT formation energy in kJ/mol of atoms: -61
Magnetization in μB/f.u.: 0.00
Crystal system: tetragonal
D(E_F) in states/eV per cell: 13.8

---

Entry 2:
Computed, not measured: a relaxed TlCuP2 crystal at the GGA-PBEsol level of DFT.

```
data_TlCuP2
_chemical_formula_sum 'Tl1 Cu1 P2'
_cell_length_a 4.034
_cell_length_b 3.726
_cell_length_c 5.316
_cell_angle_alpha 90.00
_cell_angle_beta 104.53
_cell_angle_gamma 90.00
_symmetry_space_group_name_H-M 'P 1 2/m 1'
_symmetry_Int_Tables_number 10
loop_
_symmetry_equiv_pos_as_xyz
'x,y,z'
'-x,-y,-z'
'-x,y,-z'
'x,-y,z'
loop_
_atom_site_label
_atom_site_fract_x
_atom_site_fract_y
_atom_site_fract_z
_atom_site_occupancy
Tl1 0.000 0.000 0.000 1
Cu1 0.500 0.000 0.500 1
P1 0.257 0.500 0.631 1
```

DFT formation energy in kJ/mol of atoms: 4
Magnetization in μB/f.u.: 0.00
Crystal system: monoclinic
D(E_F) in states/eV per cell: 1.2

---

Entry 3:
Computed, not measured: a relaxed TlCu2P crystal at the GGA-PBEsol level of DFT.

```
data_TlCu2P
_chemical_formula_sum 'Tl1 Cu2 P1'
_cell_length_a 3.733
_cell_length_b 4.075
_cell_length_c 4.088
_cell_angle_alpha 90.00
_cell_angle_beta 90.00
_cell_angle_gamma 90.00
_symmetry_space_group_name_H-M 'P m m m'
_symmetry_Int_Tables_number 47
loop_
_symmetry_equiv_pos_as_xyz
'x,y,z'
'-x,-y,-z'
'-x,-y,z'
'x,y,-z'
'x,-y,-z'
'-x,y,z'
'-x,y,-z'
'x,-y,z'
loop_
_atom_site_label
_atom_site_fract_x
_atom_site_fract_y
_atom_site_fract_z
_atom_site_occupancy
Tl1 0.000 0.000 0.000 1
Cu1 0.500 0.000 0.500 1
Cu2 0.500 0.500 0.000 1
P1 0.000 0.500 0.500 1
```

DFT formation energy in kJ/mol of atoms: 40
Magnetization in μB/f.u.: 0.00
Crystal system: orthorhombic
D(E_F) in states/eV per cell: 1.5

---

Entry 4:
Computed, not measured: a relaxed TlCu5P3 crystal at the GGA-PBEsol level of DFT.

```
data_TlCu5P3
_chemical_formula_sum 'Tl4 Cu20 P12'
_cell_length_a 12.181
_cell_length_b 12.181
_cell_length_c 3.722
_cell_angle_alpha 90.00
_cell_angle_beta 90.00
_cell_angle_gamma 90.00
_symmetry_space_group_name_H-M 'P 42/m n m'
_symmetry_Int_Tables_number 136
_symmetry_space_group_name_Hall '-P 4n 2n'
loop_
_atom_site_label
_atom_site_fract_x
_atom_site_fract_y
_atom_site_fract_z
_atom_site_occupancy
Tl1 0.114 0.114 0.000 1
Cu1 0.028 0.394 0.000 1
Cu2 0.060 0.722 0.500 1
Cu3 0.178 0.822 0.000 1
P1 0.096 0.904 0.500 1
P2 0.133 0.340 0.500 1
```

DFT formation energy in kJ/mol of atoms: -2
Magnetization in μB/f.u.: 0.00
Crystal system: tetragonal
D(E_F) in states/eV per cell: 13.6

---

Entry 5:
Computed, not measured: a relaxed TlCu2P crystal at the GGA-PBEsol level of DFT.

```
data_TlCu2P
_chemical_formula_sum 'Tl2 Cu4 P2'
_cell_length_a 3.094
_cell_length_b 3.610
_cell_length_c 12.081
_cell_angle_alpha 90.00
_cell_angle_beta 90.00
_cell_angle_gamma 90.00
_symmetry_space_group_name_H-M 'I m m 2'
_symmetry_Int_Tables_number 44
loop_
_symmetry_equiv_pos_as_xyz
'x,y,z'
'-x,-y,z'
'-x,y,z'
'x,-y,z'
'x+1/2,y+1/2,z+1/2'
'-x+1/2,-y+1/2,z+1/2'
'-x+1/2,y+1/2,z+1/2'
'x+1/2,-y+1/2,z+1/2'
loop_
_atom_site_label
_atom_site_fract_x
_atom_site_fract_y
_atom_site_fract_z
_atom_site_occupancy
Tl1 0.000 0.000 0.000 1
Cu1 0.000 0.000 0.630 1
Cu2 0.000 0.500 0.784 1
P1 0.000 0.500 0.272 1
```

DFT formation energy in kJ/mol of atoms: 16
Magnetization in μB/f.u.: 0.00
Crystal system: orthorhombic
D(E_F) in states/eV per cell: 2.4

---

Entry 6:
Computed, not measured: a relaxed TlCuP2 crystal at the GGA-PBEsol level of DFT.

```
data_TlCuP2
_chemical_formula_sum 'Tl1 Cu1 P2'
_cell_length_a 4.019
_cell_length_b 3.245
_cell_length_c 5.922
_cell_angle_alpha 90.00
_cell_angle_beta 103.21
_cell_angle_gamma 90.00
_symmetry_space_group_name_H-M 'P 1 m 1'
_symmetry_Int_Tables_number 6
loop_
_symmetry_equiv_pos_as_xyz
'x,y,z'
'x,-y,z'
loop_
_atom_site_label
_atom_site_fract_x
_atom_site_fract_y
_atom_site_fract_z
_atom_site_occupancy
Tl1 0.000 0.000 0.000 1
Cu1 0.615 0.500 0.265 1
P1 0.117 0.500 0.547 1
P2 0.482 0.000 0.538 1
```

DFT formation energy in kJ/mol of atoms: 17
Magnetization in μB/f.u.: 0.00
Crystal system: monoclinic
D(E_F) in states/eV per cell: 1.1

---

- Look up the magnetization of the fifth one.
  0.00 μB/f.u.